1.
Below is a geometry-optimized TePtI3 structure, with properties calculated at the PBE level.

```
TePtI3
1.0
5.457 0.000 0.000
0.000 5.457 0.000
0.000 0.000 5.457
Te Pt I
1 1 3
direct
0.000 0.000 0.000
0.500 0.500 0.500
0.000 0.500 0.500
0.500 0.000 0.500
0.500 0.500 0.000
```

E_form (uncorrected)   0.305 eV/atom
Polymorph energy (0 for the lowest one)   0.000 eV per atom
Total magnetic moment   0.00 μB/cell


2.
Below is a geometry-optimized V6ReTc2 structure, with properties calculated at the PBE level.

```
V6ReTc2
1.0
4.281 0.000 0.000
-2.140 3.707 0.000
0.000 0.000 7.798
V Re Tc
6 1 2
direct
0.000 0.000 0.169
0.000 0.000 0.831
0.333 0.667 0.276
0.333 0.667 0.612
0.667 0.333 0.388
0.667 0.333 0.724
0.000 0.000 0.500
0.333 0.667 0.943
0.667 0.333 0.057
```

Polymorph energy (0 for the lowest one)   0.000 eV per atom
Total magnetic moment   0.00 μB/cell
ΔH_f (0 K)   -0.270 eV/atom


3.
Below is a geometry-optimized Rb2Sn2PbS4 structure, with properties calculated at the PBE level.

```
Rb2Sn2PbS4
1.0
8.927 -2.067 0.000
8.927 2.067 0.000
-4.083 0.000 7.590
Rb Sn Pb S
2 2 1 4
direct
0.116 0.116 0.032
0.884 0.884 0.968
0.307 0.307 0.450
0.693 0.693 0.550
0.000 0.000 0.500
0.186 0.186 0.743
0.457 0.457 0.706
0.543 0.543 0.294
0.814 0.814 0.257
```

E_form (uncorrected)   -0.713 eV/atom
Total magnetic moment   0.00 μB/cell


4.
Below is a geometry-optimized CaTl2Cd structure, with properties calculated at the PBE level.

```
CaTl2Cd
1.0
-2.244 2.571 4.911
2.244 -2.571 4.911
2.244 2.571 -4.911
Ca Tl Cd
1 2 1
direct
0.000 0.000 0.000
0.263 0.763 0.500
0.737 0.237 0.500
0.500 0.500 0.000
```

Polymorph energy (0 for the lowest one)   0.049 eV per atom
Total magnetic moment   0.00 μB/cell
ΔH_f (0 K)   -0.192 eV/atom


5.
Below is a geometry-optimized LiTbTl6 structure, with properties calculated at the PBE level.

```
LiTbTl6
1.0
4.768 0.000 0.000
0.000 4.768 0.000
0.000 0.000 9.489
Li Tb Tl
1 1 6
direct
0.000 0.000 0.000
0.000 0.000 0.500
0.000 0.500 0.245
0.000 0.500 0.755
0.500 0.000 0.245
0.500 0.000 0.755
0.500 0.500 0.000
0.500 0.500 0.500
```

Total magnetic moment   0.00 μB/cell
ΔH_f (0 K)   -0.122 eV/atom


6.
Below is a geometry-optimized Zn7CdAg4 structure, with properties calculated at the PBE level.

```
Zn7CdAg4
1.0
6.341 -2.447 0.000
6.341 2.447 0.000
-3.553 0.000 6.798
Zn Cd Ag
7 1 4
direct
0.000 0.000 0.000
0.056 0.056 0.699
0.267 0.267 0.750
0.412 0.412 0.536
0.588 0.588 0.464
0.733 0.733 0.250
0.944 0.944 0.301
0.500 0.500 0.000
0.171 0.171 0.365
0.296 0.296 0.123
0.704 0.704 0.877
0.829 0.829 0.635
```

Polymorph energy (0 for the lowest one)   0.083 eV per atom
Total magnetic moment   0.00 μB/cell
ΔH_f (0 K)   0.111 eV/atom


7.
Below is a geometry-optimized LaPaAl structure, with properties calculated at the PBE level.

```
LaPaAl
1.0
5.218 0.000 0.000
-2.609 4.519 0.000
0.000 0.000 3.030
La Pa Al
1 1 1
direct
0.000 0.000 0.000
0.333 0.667 0.000
0.667 0.333 0.500
```

Polymorph energy (0 for the lowest one)   0.069 eV per atom
Total magnetic moment   0.00 μB/cell
ΔH_f (0 K)   0.087 eV/atom


8.
Below is a geometry-optimized Sr2ErAgSe4 structure, with properties calculated at the PBE level.

```
Sr2ErAgSe4
1.0
7.330 0.000 0.000
0.000 4.276 0.000
-2.559 0.000 7.009
Sr Er Ag Se
2 1 1 4
direct
0.000 0.000 0.000
0.000 0.500 0.500
0.500 0.000 0.500
0.500 0.500 0.000
0.270 0.500 0.268
0.276 0.000 0.750
0.724 0.000 0.250
0.730 0.500 0.732
```

E_form (uncorrected)   -1.569 eV/atom
Total magnetic moment   0.00 μB/cell